4
Lattice="-8.031 5.685 1.438 -7.895 4.259 4.292 -6.147 6.871 3.727" Properties=species:S:1:pos:R:3 comment="GGA-PBE CdMo2Pb, relaxed" magnetic_moment_mub_per_atom=0.0000 spacegroup="No. 160" formation_enthalpy_0k_mev_per_atom=369.8 crystal_system=trigonal e_above_lowest_polymorph_kcal_per_mol_atoms=0.17 pbc="T T T"
Cd -16.330 12.440 6.997
Mo -21.837 16.635 9.356
Mo -5.857 4.462 2.509
Pb -11.159 8.501 4.781

6
Lattice="-4.816 -0.691 4.124 -3.179 5.125 2.079 -6.001 1.020 -1.905" Properties=species:S:1:pos:R:3 comment="GGA-PBE CdMoPb4, relaxed" magnetic_moment_mub_per_atom=0.6415 spacegroup="No. 216" formation_enthalpy_0k_mev_per_atom=803.9 crystal_system=cubic pbc="T T T"
Cd -10.497 4.090 3.224
Mo 0.000 0.000 0.000
Pb -7.661 1.694 3.682
Pb -8.256 2.554 0.651
Pb -6.837 4.618 2.654
Pb -5.239 2.041 1.609